Run one
The following is a PBE calculation of an optimized crystal structure of LiZnOs, from Alexandria.

Unit cell a=4.255 b=4.255 c=5.271 alpha=90.00 beta=90.00 gamma=120.00
Element x y z (fractional)
Li1 0.667 0.333 0.741
Li2 0.333 0.667 0.066
Zn1 0.000 0.000 0.879
Zn2 0.333 0.667 0.556
Os1 0.000 0.000 0.377
Os2 0.667 0.333 0.253

D(E_F)   3.382 states/eV/cell
Symmetry   No. 156

---

Run two
The following is a PBE calculation of an optimized crystal structure of LiZnOs, from Alexandria.

Unit cell a=8.370 b=4.388 c=4.472 alpha=90.00 beta=90.00 gamma=90.00
Element x y z (fractional)
Os1 0.330 0.500 0.500
Os2 0.830 0.000 0.500
Os3 0.670 0.500 0.500
Os4 0.170 0.000 0.500
Li1 0.327 0.000 0.000
Li2 0.173 0.500 0.000
Li3 0.673 0.000 0.000
Li4 0.827 0.500 0.000
Zn1 0.000 0.500 0.500
Zn2 0.500 0.500 0.000
Zn3 0.000 0.000 0.000
Zn4 0.500 0.000 0.500

D(E_F)   7.197 states/eV/cell
Symmetry   No. 65

---

Result of the stability comparison: run two is the most stable of them.

---

Run one
The following is a PBE calculation of an optimized crystal structure of LiZnOs, from Alexandria.

Unit cell a=2.688 b=2.688 c=6.790 alpha=90.00 beta=90.00 gamma=120.00
Element x y z (fractional)
Zn1 0.333 0.667 0.664
Li1 0.000 0.000 0.004
Os1 0.667 0.333 0.331

D(E_F)   1.688 states/eV/cell
Symmetry   No. 156

---

Run two
The following is a PBE calculation of an optimized crystal structure of LiZnOs, from Alexandria.

Unit cell a=6.636 b=6.636 c=6.636 alpha=157.43 beta=157.43 gamma=32.13
Element x y z (fractional)
Zn1 0.669 0.669 0.000
Os1 0.333 0.333 0.000
Li1 0.998 0.998 0.000

D(E_F)   2.931 states/eV/cell
Symmetry   No. 107

---

Result of the stability comparison: run one is the most stable of them.

---

Run one
The following is a PBE calculation of an optimized crystal structure of LiZnOs, from Alexandria.

Unit cell a=4.429 b=4.743 c=5.022 alpha=97.23 beta=108.85 gamma=117.30
Element x y z (fractional)
Zn1 0.644 0.824 0.392
Zn2 0.909 0.645 0.919
Li1 0.226 0.302 0.891
Li2 0.545 0.987 0.878
Os1 0.323 0.191 0.389
Os2 0.964 0.459 0.404

D(E_F)   2.204 states/eV/cell
Symmetry   No. 1

---

Run two
The following is a PBE calculation of an optimized crystal structure of LiZnOs, from Alexandria.

Unit cell a=7.165 b=6.953 c=2.633 alpha=83.82 beta=74.75 gamma=21.43
Element x y z (fractional)
Zn1 0.333 0.333 0.667
Li1 0.002 0.002 0.998
Os1 0.665 0.665 0.335

D(E_F)   1.269 states/eV/cell
Symmetry   No. 42

---

Result of the stability comparison: run one is the most stable of them.

---

Run one
The following is a PBE calculation of an optimized crystal structure of LiZnOs, from Alexandria.

Unit cell a=4.518 b=4.779 c=5.025 alpha=106.22 beta=104.46 gamma=115.44
Element x y z (fractional)
Li1 0.624 0.627 0.266
Li2 0.376 0.373 0.734
Zn1 0.232 0.738 0.470
Zn2 0.768 0.262 0.530
Os1 0.817 0.124 0.001
Os2 0.183 0.876 0.999

D(E_F)   1.610 states/eV/cell
Symmetry   No. 2

---

Run two
The following is a PBE calculation of an optimized crystal structure of LiZnOs, from Alexandria.

Unit cell a=4.178 b=4.178 c=4.178 alpha=60.00 beta=60.00 gamma=60.00
Last column: magnetic moment on the atom in μB.
Element x y z (fractional)
Li1 0.500 0.500 0.500  -0.02
Os1 0.250 0.250 0.250  1.17
Zn1 0.000 0.000 0.000  -0.02

D(E_F)   3.067 states/eV/cell
Symmetry   No. 216

---

Result of the stability comparison: run one is the most stable of them.

---

Run one
The following is a PBE calculation of an optimized crystal structure of LiZnOs, from Alexandria.

Unit cell a=4.088 b=4.088 c=4.088 alpha=60.00 beta=60.00 gamma=60.00
Last column: magnetic moment on the atom in μB.
Element x y z (fractional)
Os1 0.500 0.500 0.500  1.06
Li1 0.000 0.000 0.000  -0.03
Zn1 0.250 0.250 0.250  0.00

D(E_F)   2.981 states/eV/cell
Symmetry   No. 216

---

Run two
The following is a PBE calculation of an optimized crystal structure of LiZnOs, from Alexandria.

Unit cell a=4.506 b=8.273 c=4.702 alpha=90.00 beta=107.52 gamma=90.00
Element x y z (fractional)
Zn1 0.000 0.022 0.500
Zn2 0.000 0.687 0.500
Zn3 0.000 0.187 0.000
Zn4 0.000 0.522 0.000
Os1 0.500 0.480 0.500
Os2 0.000 0.359 0.500
Os3 0.500 0.980 0.000
Os4 0.000 0.859 0.000
Li1 0.500 0.830 0.500
Li2 0.500 0.158 0.500
Li3 0.500 0.330 0.000
Li4 0.500 0.658 0.000

D(E_F)   4.443 states/eV/cell
Symmetry   No. 5

---

Result of the stability comparison: run two is the most stable of them.

---

Run one
The following is a PBE calculation of an optimized crystal structure of LiZn2Os2, from Alexandria.

Unit cell a=5.262 b=5.262 c=5.262 alpha=127.43 beta=127.43 gamma=77.56
Element x y z (fractional)
Os1 0.639 0.639 0.000
Os2 0.361 0.361 0.000
Zn1 0.250 0.750 0.500
Zn2 0.750 0.250 0.500
Li1 0.000 0.000 0.000

D(E_F)   3.734 states/eV/cell
Symmetry   No. 139

---

Run two
The following is a PBE calculation of an optimized crystal structure of LiZn2Os2, from Alexandria.

Unit cell a=7.714 b=7.714 c=2.643 alpha=90.00 beta=90.00 gamma=90.00
Last column: magnetic moment on the atom in μB.
Element x y z (fractional)
Zn1 0.179 0.321 0.000  0.01
Zn2 0.679 0.179 0.000  0.01
Zn3 0.821 0.679 0.000  0.01
Zn4 0.321 0.821 0.000  0.01
Os1 0.617 0.883 0.500  0.39
Os2 0.383 0.117 0.500  0.39
Os3 0.883 0.383 0.500  0.39
Os4 0.117 0.617 0.500  0.39
Li1 0.000 0.000 0.000  0.00
Li2 0.500 0.500 0.000  0.00

D(E_F)   10.162 states/eV/cell
Symmetry   No. 127

---

Run three
The following is a PBE calculation of an optimized crystal structure of LiZn2Os2, from Alexandria.

Unit cell a=3.621 b=3.621 c=6.804 alpha=74.57 beta=74.57 gamma=90.00
Element x y z (fractional)
Li1 0.000 0.000 0.000
Os1 0.750 0.250 0.500
Os2 0.250 0.750 0.500
Zn1 0.404 0.404 0.191
Zn2 0.596 0.596 0.809

D(E_F)   4.087 states/eV/cell
Symmetry   No. 139

---

Result of the stability comparison: run two is the most stable of them.

---

Run one
The following is a PBE calculation of an optimized crystal structure of Li3ZnOs, from Alexandria.

Unit cell a=4.322 b=4.322 c=4.322 alpha=90.00 beta=90.00 gamma=90.00
Last column: magnetic moment on the atom in μB.
Element x y z (fractional)
Li1 0.500 0.000 0.000  -0.01
Li2 0.000 0.500 0.000  -0.02
Li3 0.000 0.000 0.500  -0.02
Os1 0.500 0.500 0.500  1.62
Zn1 0.000 0.000 0.000  -0.05

D(E_F)   3.106 states/eV/cell
Symmetry   No. 221

---

Run two
The following is a PBE calculation of an optimized crystal structure of Li3ZnOs, from Alexandria.

Unit cell a=4.784 b=4.784 c=4.784 alpha=90.00 beta=90.00 gamma=90.00
Last column: magnetic moment on the atom in μB.
Element x y z (fractional)
Li1 0.000 0.500 0.000  -0.01
Li2 0.000 0.000 0.500  -0.01
Li3 0.500 0.000 0.000  -0.01
Os1 0.000 0.000 0.000  1.13
Zn1 0.500 0.500 0.500  0.00

D(E_F)   2.569 states/eV/cell
Symmetry   No. 221

---

Result of the stability comparison: run two is the most stable of them.

---

Run one
The following is a PBE calculation of an optimized crystal structure of LiZrOs3, from Alexandria.

Unit cell a=4.202 b=4.202 c=4.202 alpha=90.00 beta=90.00 gamma=90.00
Element x y z (fractional)
Li1 0.000 0.000 0.000
Zr1 0.500 0.500 0.500
Os1 0.000 0.000 0.500
Os2 0.500 0.000 0.000
Os3 0.000 0.500 0.000

D(E_F)   7.933 states/eV/cell
Symmetry   No. 221

---

Run two
The following is a PBE calculation of an optimized crystal structure of LiZrOs3, from Alexandria.

Unit cell a=4.895 b=4.895 c=4.895 alpha=90.00 beta=90.00 gamma=90.00
Last column: magnetic moment on the atom in μB.
Element x y z (fractional)
Os1 0.000 0.500 0.000  1.21
Os2 0.500 0.000 0.000  1.05
Os3 0.000 0.000 0.500  1.26
Li1 0.500 0.500 0.500  -0.01
Zr1 0.000 0.000 0.000  -0.12

D(E_F)   6.655 states/eV/cell
Symmetry   No. 221

---

Result of the stability comparison: run one is the most stable of them.

---

Run one
The following is a PBE calculation of an optimized crystal structure of LiP, from Alexandria.

Unit cell a=10.448 b=10.448 c=3.297 alpha=90.00 beta=90.00 gamma=90.00
Element x y z (fractional)
P1 0.184 0.281 0.500
P2 0.719 0.184 0.500
P3 0.781 0.316 0.000
P4 0.219 0.684 0.000
P5 0.281 0.816 0.500
P6 0.684 0.781 0.000
P7 0.316 0.219 0.000
P8 0.816 0.719 0.500
Li1 0.452 0.735 0.000
Li2 0.765 0.952 0.500
Li3 0.048 0.765 0.500
Li4 0.952 0.235 0.500
Li5 0.265 0.452 0.000
Li6 0.548 0.265 0.000
Li7 0.235 0.048 0.500
Li8 0.735 0.548 0.000

Symmetry   No. 87

---

Run two
The following is a PBE calculation of an optimized crystal structure of LiP, from Alexandria.

Unit cell a=3.838 b=3.838 c=4.629 alpha=90.00 beta=90.00 gamma=120.00
Element x y z (fractional)
Li1 0.000 0.000 0.000
Li2 0.000 0.000 0.500
P1 0.667 0.333 0.750
P2 0.333 0.667 0.250

D(E_F)   1.518 states/eV/cell
Symmetry   No. 194

---

Result of the stability comparison: run one is the most stable of them.

---

Run one
The following is a PBE calculation of an optimized crystal structure of LiP, from Alexandria.

Unit cell a=7.051 b=7.051 c=3.729 alpha=90.00 beta=90.00 gamma=90.00
Element x y z (fractional)
P1 0.898 0.102 0.500
P2 0.398 0.398 0.000
P3 0.602 0.602 0.000
P4 0.102 0.898 0.500
Li1 0.766 0.766 0.500
Li2 0.734 0.266 0.000
Li3 0.234 0.234 0.500
Li4 0.266 0.734 0.000

D(E_F)   4.303 states/eV/cell
Symmetry   No. 136

---

Run two
The following is a PBE calculation of an optimized crystal structure of LiP, from Alexandria.

Unit cell a=5.477 b=5.156 c=9.271 alpha=90.00 beta=90.00 gamma=90.00
Element x y z (fractional)
Li1 0.351 0.291 0.067
Li2 0.149 0.709 0.567
Li3 0.702 0.621 0.151
Li4 0.649 0.791 0.433
Li5 0.851 0.209 0.933
Li6 0.202 0.879 0.849
Li7 0.298 0.121 0.349
Li8 0.798 0.379 0.651
P1 0.269 0.373 0.782
P2 0.924 0.411 0.379
P3 0.731 0.873 0.718
P4 0.769 0.127 0.218
P5 0.424 0.089 0.621
P6 0.231 0.627 0.282
P7 0.576 0.589 0.879
P8 0.076 0.911 0.121

Symmetry   No. 19

---

Result of the stability comparison: run two is the most stable of them.

---

Run one
The following is a PBE calculation of an optimized crystal structure of LiP, from Alexandria.

Unit cell a=7.489 b=7.489 c=7.489 alpha=90.00 beta=90.00 gamma=90.00
Element x y z (fractional)
Li1 0.300 0.300 0.700
Li2 0.200 0.800 0.800
Li3 0.300 0.700 0.300
Li4 0.700 0.700 0.700
Li5 0.200 0.200 0.200
Li6 0.700 0.300 0.300
Li7 0.800 0.200 0.800
Li8 0.800 0.800 0.200
P1 0.385 0.385 0.385
P2 0.385 0.615 0.615
P3 0.885 0.885 0.885
P4 0.885 0.115 0.115
P5 0.615 0.615 0.385
P6 0.115 0.115 0.885
P7 0.115 0.885 0.115
P8 0.615 0.385 0.615

D(E_F)   11.984 states/eV/cell
Symmetry   No. 217

---

Run two
The following is a PBE calculation of an optimized crystal structure of LiP, from Alexandria.

Unit cell a=5.008 b=3.291 c=8.914 alpha=90.00 beta=110.40 gamma=90.00
Element x y z (fractional)
P1 0.350 0.000 0.688
P2 0.650 0.500 0.812
P3 0.650 0.000 0.312
P4 0.350 0.500 0.188
Li1 0.206 0.500 0.883
Li2 0.794 0.000 0.617
Li3 0.206 0.000 0.383
Li4 0.794 0.500 0.117

D(E_F)   1.433 states/eV/cell
Symmetry   No. 12

---

Run three
The following is a PBE calculation of an optimized crystal structure of LiP, from Alexandria.

Unit cell a=4.975 b=5.588 c=9.062 alpha=85.17 beta=90.00 gamma=90.00
Element x y z (fractional)
Li1 0.110 0.388 0.829
Li2 0.890 0.612 0.171
Li3 0.340 0.805 0.969
Li4 0.840 0.695 0.531
Li5 0.390 0.888 0.329
Li6 0.160 0.305 0.469
Li7 0.610 0.112 0.671
Li8 0.660 0.195 0.031
P1 0.343 0.691 0.612
P2 0.104 0.977 0.707
P3 0.657 0.309 0.388
P4 0.604 0.523 0.793
P5 0.843 0.809 0.888
P6 0.396 0.477 0.207
P7 0.896 0.023 0.293
P8 0.157 0.191 0.112

Symmetry   No. 14

---

Run four
The following is a PBE calculation of an optimized crystal structure of LiP, from Alexandria.

Unit cell a=3.033 b=3.033 c=3.033 alpha=90.00 beta=90.00 gamma=90.00
Element x y z (fractional)
P1 0.500 0.500 0.500
Li1 0.000 0.000 0.000

D(E_F)   0.873 states/eV/cell
Symmetry   No. 221

---

Result of the stability comparison: run three is the most stable of them.